(1)
Here is an optimized crystal structure of Na2CuPbBr5 from Alexandria. Energies are from PBE.

Calculated values
E_tot in eV per cell: -55.9
SG: Cmc2_1, No. 36
E_form (uncorrected) in eV/atom: -1.018
Total magnetization in μB/f.u.: 0.0

Cell: 9.9642 9.9642 13.3482 Å, 90.00 90.00 155.73°
Sites, in units of the cell vectors:
Na 0.0777 0.9223 0.5000
Na 0.1017 0.8983 0.1879
Na 0.8983 0.1017 0.6879
Na 0.9223 0.0777 0.0000
Cu 0.4308 0.5692 0.2671
Cu 0.5692 0.4308 0.7671
Pb 0.2019 0.7981 0.8822
Pb 0.7981 0.2019 0.3822
Br 0.0419 0.9581 0.8590
Br 0.3082 0.6918 0.2165
Br 0.3075 0.6925 0.5453
Br 0.3587 0.6413 0.8609
Br 0.4996 0.5004 0.1121
Br 0.5004 0.4996 0.6121
Br 0.6413 0.3587 0.3609
Br 0.6925 0.3075 0.0453
Br 0.6918 0.3082 0.7165
Br 0.9581 0.0419 0.3590

***

(2)
Here is an optimized crystal structure of NaCuPbBr2 from Alexandria. Energies are from PBE.

Calculated values
E_tot in eV per cell: -12.8
SG: P4/mmm, No. 123
E_form (uncorrected) in eV/atom: -0.063
Total magnetization in μB/f.u.: 0.0

Cell: 5.2759 5.2759 5.3405 Å, 90.00 90.00 90.00°
Sites, in units of the cell vectors:
Na 0.0000 0.0000 0.0000
Cu 0.0000 0.0000 0.5000
Pb 0.5000 0.5000 0.5000
Br 0.0000 0.5000 0.0000
Br 0.5000 0.0000 0.0000

***

(3)
Here is an optimized crystal structure of NaPmCuBr5 from Alexandria. Energies are from PBE.

Calculated values
E_tot in eV per cell: -58.7
SG: C2/c, No. 15
E_form (uncorrected) in eV/atom: -1.353
Total magnetization in μB/f.u.: 0.1

Cell: 7.6309 7.6309 10.5016 Å, 103.23 103.23 109.25°
Sites, in units of the cell vectors:
Na 0.1189 0.8811 0.7500
Na 0.8811 0.1189 0.2500
Pm 0.5000 0.5000 0.0000
Pm 0.5000 0.5000 0.5000
Cu 0.1920 0.8080 0.2500
Cu 0.8080 0.1920 0.7500
Br 0.0972 0.2356 0.9387
Br 0.1582 0.5444 0.3533
Br 0.2356 0.0972 0.4387
Br 0.3979 0.6021 0.7500
Br 0.4556 0.8418 0.1467
Br 0.5444 0.1582 0.8533
Br 0.6021 0.3979 0.2500
Br 0.7644 0.9028 0.5613
Br 0.8418 0.4556 0.6467
Br 0.9028 0.7644 0.0613

***

(4)
Here is an optimized crystal structure of NaPuCuBr5 from Alexandria. Energies are from PBE.

Calculated values
E_tot in eV per cell: -75.1
SG: C2/c, No. 15
E_form (uncorrected) in eV/atom: -1.182
Total magnetization in μB/f.u.: 5.0

Cell: 7.5894 7.5894 10.5253 Å, 104.11 104.11 106.80°
Sites, in units of the cell vectors:
Na 0.1288 0.8712 0.7500
Na 0.8712 0.1288 0.2500
Pu 0.5000 0.5000 0.0000
Pu 0.5000 0.5000 0.5000
Cu 0.1923 0.8077 0.2500
Cu 0.8077 0.1923 0.7500
Br 0.1053 0.2335 0.9362
Br 0.1535 0.5510 0.3551
Br 0.2335 0.1053 0.4362
Br 0.3972 0.6028 0.7500
Br 0.4490 0.8465 0.1449
Br 0.5510 0.1535 0.8551
Br 0.6028 0.3972 0.2500
Br 0.7665 0.8947 0.5638
Br 0.8465 0.4490 0.6449
Br 0.8947 0.7665 0.0638

***

(5)
Here is an optimized crystal structure of NaPuCu2Br8 from Alexandria. Energies are from PBE.

Calculated values
E_tot in eV per cell: -47.4
SG: I-4m2, No. 119
E_form (uncorrected) in eV/atom: -0.850
Total magnetization in μB/f.u.: 2.9

Cell: 7.8929 7.8929 7.8929 Å, 106.81 106.81 114.93°
Sites, in units of the cell vectors:
Na 0.0000 0.0000 0.0000
Pu 0.2500 0.7500 0.5000
Cu 0.5000 0.5000 0.0000
Cu 0.7500 0.2500 0.5000
Br 0.3174 0.1202 0.8029
Br 0.3174 0.5145 0.1971
Br 0.3690 0.0484 0.3205
Br 0.4855 0.6826 0.8029
Br 0.7279 0.0484 0.6795
Br 0.8798 0.6826 0.1971
Br 0.9516 0.2721 0.3205
Br 0.9516 0.6310 0.6795

***

(6)
Here is an optimized crystal structure of RbNaCuBr3 from Alexandria. Energies are from PBE.

Calculated values
E_tot in eV per cell: -36.9
SG: P2_1/m, No. 11
E_form (uncorrected) in eV/atom: -1.177
Total magnetization in μB/f.u.: 0.0

Cell: 9.4845 4.2558 9.8302 Å, 90.00 105.52 90.00°
Sites, in units of the cell vectors:
Rb 0.1944 0.2500 0.2245
Rb 0.8056 0.7500 0.7755
Na 0.3470 0.7500 0.8598
Na 0.6530 0.2500 0.1402
Cu 0.0634 0.2500 0.5785
Cu 0.9366 0.7500 0.4215
Br 0.1100 0.2500 0.8401
Br 0.2014 0.7500 0.5314
Br 0.4494 0.7500 0.1692
Br 0.5506 0.2500 0.8308
Br 0.7986 0.2500 0.4686
Br 0.8900 0.7500 0.1599

***

(7)
Here is an optimized crystal structure of RbNaCu2Br from Alexandria. Energies are from PBE.

Calculated values
E_tot in eV per cell: -10.6
SG: P4/mmm, No. 123
E_form (uncorrected) in eV/atom: 0.301
Total magnetization in μB/f.u.: 0.0

Cell: 5.0104 5.0104 8.8947 Å, 90.00 90.00 90.00°
Sites, in units of the cell vectors:
Rb 0.0000 0.0000 0.0000
Na 0.0000 0.0000 0.5000
Cu 0.0000 0.5000 0.5000
Cu 0.5000 0.0000 0.5000
Br 0.5000 0.5000 0.0000

***

(8)
Here is an optimized crystal structure of Rb2NaCuBr6 from Alexandria. Energies are from PBE.

Calculated values
E_tot in eV per cell: -27.6
SG: Fm-3m, No. 225
E_form (uncorrected) in eV/atom: -1.024
Total magnetization in μB/f.u.: 0.6

Cell: 7.6968 7.6968 7.6968 Å, 60.00 60.00 60.00°
Sites, in units of the cell vectors:
Rb 0.2500 0.2500 0.2500
Rb 0.7500 0.7500 0.7500
Na 0.0000 0.0000 0.0000
Cu 0.5000 0.5000 0.5000
Br 0.2663 0.2663 0.7337
Br 0.2663 0.7337 0.2663
Br 0.2663 0.7337 0.7337
Br 0.7337 0.2663 0.2663
Br 0.7337 0.2663 0.7337
Br 0.7337 0.7337 0.2663